Entry from Alexandria via LeMat-Bulk: Ac2CrRuO6 after structural relaxation (PBE with a Hubbard U).

Summary:
**E_tot**: -7.8334 eV per atom
**SG**: P4/mmm, No. 123
**Spin magnetization**: 4.0 μB/cell

Geometry as POSCAR:
```
Ac2CrRuO6
1.0
-1.403 3.107 -2.035
-1.950 -3.529 -4.043
-4.973 -0.429 2.773
O Ac Cr Ru
6 2 1 1
Direct
0.145 0.500 0.500
0.645 0.246 0.246
0.645 0.754 0.246
0.645 0.246 0.754
0.645 0.754 0.754
0.145 0.000 0.000
0.145 0.000 0.500
0.145 0.500 0.000
0.645 0.000 0.000
0.645 0.500 0.500
```